No. 1
A relaxed Pd2SeS crystal, computed with PBE.

Unit cell a=6.7197 b=6.7197 c=6.7197 alpha=30.77 beta=30.77 gamma=30.77
Last column: nearest neighbours and their distance in Å.
Atoms (fractional coordinates):
Pd (0.0000, 0.0000, 0.0000)  3 S 2.50, 3 Se 2.61
Pd (0.1530, 0.1530, 0.1530)  3 S 2.56, 3 Se 2.77
Se (0.5833, 0.5833, 0.5833)  6 Pd 2.61-2.77
S (0.4074, 0.4074, 0.4074)  6 Pd 2.50-2.56

Results
Volume = 17.61 Å³/atom
Energy above the lowest structure with this stoichiometry = 0.0585 eV per atom
Space-group type = R3m

***

No. 2
A relaxed Ti3AuN crystal, computed with PBE.

Unit cell a=7.5592 b=7.5592 c=5.1274 alpha=91.19 beta=91.19 gamma=102.16
Last column: nearest neighbours and their distance in Å.
Atoms (fractional coordinates):
Ti (0.0467, 0.1879, 0.0921)  3 N 2.05-2.12
Ti (0.0599, 0.6860, 0.4092)  2 N 2.07-2.10
Ti (0.1879, 0.0467, 0.5921)  3 N 2.05-2.12
Ti (0.1959, 0.5596, 0.9432)  1 N 2.08
Ti (0.3140, 0.9401, 0.0908)  2 N 2.07-2.10
Ti (0.4404, 0.8041, 0.5568)  1 N 2.08
Ti (0.5596, 0.1959, 0.4432)  1 N 2.08
Ti (0.6860, 0.0599, 0.9092)  2 N 2.07-2.10
Ti (0.8041, 0.4404, 0.0568)  1 N 2.08
Ti (0.8121, 0.9533, 0.4079)  3 N 2.05-2.12
Ti (0.9401, 0.3140, 0.5908)  2 N 2.07-2.10
Ti (0.9533, 0.8121, 0.9079)  3 N 2.05-2.12
Au (0.2993, 0.4227, 0.4308)  8 Ti 2.81-2.98, 3 Au 2.95-3.08
Au (0.4227, 0.2993, 0.9308)  8 Ti 2.81-2.98, 3 Au 2.95-3.08
Au (0.5773, 0.7007, 0.0692)  8 Ti 2.81-2.98, 3 Au 2.95-3.08
Au (0.7007, 0.5773, 0.5692)  8 Ti 2.81-2.98, 3 Au 2.95-3.08
N (0.0643, 0.9357, 0.2500)  6 Ti 2.05-2.12
N (0.2008, 0.7992, 0.7500)  6 Ti 2.07-2.10
N (0.7992, 0.2008, 0.2500)  6 Ti 2.07-2.10
N (0.9357, 0.0643, 0.7500)  6 Ti 2.05-2.12

Results
Volume = 14.31 Å³/atom
E_tot = -7.997 eV/atom
Space-group type = C2/c

***

No. 3
A relaxed CoReHg3 crystal, computed with PBE.

Unit cell a=4.9452 b=4.9452 c=4.9452 alpha=90.00 beta=90.00 gamma=90.00
Last column: nearest neighbours and their distance in Å.
Atoms (fractional coordinates):
Co (0.0000, 0.0000, 0.0000)  6 Hg 2.47
Re (0.5000, 0.5000, 0.5000)  12 Hg 3.50
Hg (0.0000, 0.0000, 0.5000)  2 Co 2.47
Hg (0.0000, 0.5000, 0.0000)  2 Co 2.47
Hg (0.5000, 0.0000, 0.0000)  2 Co 2.47

Results
Volume = 24.19 Å³/atom
Energy relative to the elements = 1.472 eV per atom
Energy above the lowest structure with this stoichiometry = 0.0000 eV per atom
Space-group type = Pm-3m

***

No. 4
A relaxed NaPaIn2Te4 crystal, computed with PBE.

Unit cell a=7.7481 b=4.4706 c=8.3332 alpha=90.00 beta=107.06 gamma=90.00
Last column: nearest neighbours and their distance in Å.
Atoms (fractional coordinates):
Na (0.0000, 0.0000, 0.0000)  6 Te 3.22-3.27
Pa (0.5000, 0.5000, 0.0000)  6 Te 2.96-3.08
In (0.0000, 0.5000, 0.5000)  6 Te 3.48-3.51
In (0.5000, 0.0000, 0.5000)  6 Te 3.27-3.30
Te (0.2709, 0.5000, 0.2286)  1 Pa 2.96, 2 Na 3.27, 2 In 3.30
Te (0.2782, 0.0000, 0.7782)  2 Pa 3.08, 1 Na 3.22, 1 In 3.27
Te (0.7218, 0.0000, 0.2218)  2 Pa 3.08, 1 Na 3.22, 1 In 3.27
Te (0.7291, 0.5000, 0.7714)  1 Pa 2.96, 2 Na 3.27, 2 In 3.30

Results
Volume = 34.49 Å³/atom
E_tot = -4.211 eV/atom
Space-group type = P2/m

***

No. 5
A relaxed Ce5Tl2Os2 crystal, computed with PBE.

Unit cell a=8.9429 b=8.9429 c=7.9821 alpha=90.00 beta=90.00 gamma=49.71
Last column: nearest neighbours and their distance in Å.
Atoms (fractional coordinates):
Ce (0.0000, 0.0000, 0.0000)  4 Os 2.92-3.11
Ce (0.0528, 0.7207, 0.6689)  3 Os 2.84-3.04
Ce (0.2207, 0.5528, 0.1689)  3 Os 2.84-3.04
Ce (0.2793, 0.9472, 0.6689)  3 Os 2.84-3.04
Ce (0.4472, 0.7793, 0.1689)  3 Os 2.84-3.04
Ce (0.5000, 0.5000, 0.5000)  4 Os 2.92-3.11
Ce (0.5528, 0.2207, 0.8311)  3 Os 2.84-3.04
Ce (0.7207, 0.0528, 0.3311)  3 Os 2.84-3.04
Ce (0.7793, 0.4472, 0.8311)  3 Os 2.84-3.04
Ce (0.9472, 0.2793, 0.3311)  3 Os 2.84-3.04
Tl (0.2194, 0.2194, 0.0000)  7 Ce 3.28-3.56
Tl (0.2806, 0.2806, 0.5000)  7 Ce 3.28-3.56
Tl (0.7194, 0.7194, 0.5000)  7 Ce 3.28-3.56
Tl (0.7806, 0.7806, 0.0000)  7 Ce 3.28-3.56
Os (0.1380, 0.8620, 0.3672)  8 Ce 2.84-3.11, 1 Os 2.97
Os (0.3620, 0.6380, 0.8672)  8 Ce 2.84-3.11, 1 Os 2.97
Os (0.6380, 0.3620, 0.1328)  8 Ce 2.84-3.11, 1 Os 2.97
Os (0.8620, 0.1380, 0.6328)  8 Ce 2.84-3.11, 1 Os 2.97

Results
Volume = 27.05 Å³/atom
Energy relative to the elements = -0.212 eV per atom
Energy above the lowest structure with this stoichiometry = 0.0000 eV per atom
Space-group type = Cmce

***

No. 6
A relaxed Pa6TeN12 crystal, computed with PBE.

Unit cell a=6.5887 b=6.5887 c=6.5887 alpha=98.98 beta=98.98 gamma=98.98
Last column: nearest neighbours and their distance in Å.
Atoms (fractional coordinates):
Pa (0.0996, 0.6359, 0.7944)  6 N 2.22-2.43
Pa (0.2056, 0.9004, 0.3641)  6 N 2.22-2.43
Pa (0.3641, 0.2056, 0.9004)  6 N 2.22-2.43
Pa (0.6359, 0.7944, 0.0996)  6 N 2.22-2.43
Pa (0.7944, 0.0996, 0.6359)  6 N 2.22-2.43
Pa (0.9004, 0.3641, 0.2056)  6 N 2.22-2.43
Te (0.5000, 0.5000, 0.5000)  6 N 2.11
N (0.0672, 0.3255, 0.9046)  4 Pa 2.22-2.43
N (0.0954, 0.9328, 0.6745)  4 Pa 2.22-2.43
N (0.1904, 0.5507, 0.4338)  1 Te 2.11, 1 Pa 2.28
N (0.3255, 0.9046, 0.0672)  4 Pa 2.22-2.43
N (0.4338, 0.1904, 0.5507)  1 Te 2.11, 1 Pa 2.28
N (0.4493, 0.5662, 0.8096)  1 Te 2.11, 1 Pa 2.28
N (0.5507, 0.4338, 0.1904)  1 Te 2.11, 1 Pa 2.28
N (0.5662, 0.8096, 0.4493)  1 Te 2.11, 1 Pa 2.28
N (0.6745, 0.0954, 0.9328)  4 Pa 2.22-2.43
N (0.8096, 0.4494, 0.5662)  1 Te 2.11, 1 Pa 2.28
N (0.9046, 0.0672, 0.3255)  4 Pa 2.22-2.43
N (0.9328, 0.6745, 0.0954)  4 Pa 2.22-2.43

Results
Volume = 14.43 Å³/atom
E_tot = -9.727 eV/atom
Space-group type = R-3

***

Q: The highest volume belongs to which entry?
A: NaPaIn2Te4